First-principles (GGA-PBEsol) data for Fe2SiHg after structural relaxation, as listed in Alexandria via LeMat-Bulk.

abc: 2.8136 3.9887 4.9788
angles: 90.00 90.00 90.00
With the nearest neighbours (Å) after each atom.
Positions (direct):
1 Fe 0.0000 0.0000 0.0000  2 Si 2.32, 2 Fe 2.41
2 Fe 0.0000 0.5000 0.2714  2 Fe 2.41, 4 Si 2.49
3 Si 0.5000 0.0000 0.3699  6 Fe 2.32-2.49
4 Hg 0.5000 0.5000 0.7617  8 Fe 2.71-2.90, 2 Si 2.79, 2 Hg 2.81

Values from the calculation:
For the energy, the calculation gives -5.882 eV/atom. As for the space group: Pmm2, No. 25. As for the energy above the most stable polymorph in this dataset: 0 meV/atom. The uncorrected formation energy comes out at 178 meV per atom.


First-principles (GGA-PBEsol) data for RbSc3Ni after structural relaxation, as listed in Alexandria via LeMat-Bulk.

abc: 4.8284 4.8284 4.8284
angles: 90.00 90.00 90.00
With the nearest neighbours (Å) after each atom.
Positions (direct):
1 Rb 0.0000 0.0000 0.0000  6 Sc 2.41
2 Sc 0.0000 0.0000 0.5000  2 Rb 2.41
3 Sc 0.0000 0.5000 0.0000  2 Rb 2.41
4 Sc 0.5000 0.0000 0.0000  2 Rb 2.41
5 Ni 0.5000 0.5000 0.5000  12 Sc 3.41

Values from the calculation:
For the energy, the calculation gives -3.707 eV/atom. As for the space group: Pm-3m, No. 221.


First-principles (GGA-PBEsol) data for KPRhO2 after structural relaxation, as listed in Alexandria via LeMat-Bulk.

abc: 4.1088 4.1088 4.4444
angles: 90.00 90.00 90.00
With the nearest neighbours (Å) after each atom.
Positions (direct):
1 K 0.0000 0.0000 0.0000  4 P 2.91, 8 O 3.03
2 P 0.5000 0.5000 0.0000  2 Rh 2.22
3 Rh 0.5000 0.5000 0.5000  4 O 2.05, 2 P 2.22
4 O 0.0000 0.5000 0.5000  2 Rh 2.05
5 O 0.5000 0.0000 0.5000  2 Rh 2.05

Values from the calculation:
For the energy, the calculation gives -5.249 eV/atom. As for the space group: P4/mmm, No. 123. As for the energy above the most stable polymorph in this dataset: 0 meV/atom. The uncorrected formation energy comes out at -137 meV per atom.


First-principles (GGA-PBEsol) data for LiBi3P6O20 after structural relaxation, as listed in Alexandria via LeMat-Bulk.

abc: 8.5725 8.5725 12.6526
angles: 90.00 90.00 108.93
With the nearest neighbours (Å) after each atom.
Positions (direct):
1 Li 0.0131 0.0131 0.0000  2 O 2.01
2 Li 0.9869 0.9869 0.5000  2 O 2.01
3 Bi 0.2397 0.7603 0.2500  4 O 2.17-2.32
4 Bi 0.2584 0.7416 0.7500  6 O 2.23-2.47
5 Bi 0.3570 0.3570 0.0000  4 O 2.26-2.29
6 Bi 0.6430 0.6430 0.5000  4 O 2.26-2.29
7 Bi 0.7416 0.2584 0.2500  6 O 2.23-2.47
8 Bi 0.7603 0.2397 0.7500  4 O 2.17-2.32
9 P 0.1054 0.3127 0.3495  4 O 1.49-1.61
10 P 0.1756 0.3072 0.7832  4 O 1.52-1.61
11 P 0.2315 0.6148 0.4780  4 O 1.50-1.62
12 P 0.3072 0.1756 0.2168  4 O 1.52-1.61
13 P 0.3127 0.1054 0.6505  4 O 1.49-1.61
14 P 0.3852 0.7685 0.0220  4 O 1.50-1.62
15 P 0.6148 0.2315 0.5220  4 O 1.50-1.62
16 P 0.6873 0.8946 0.1505  4 O 1.49-1.61
17 P 0.6928 0.8244 0.7168  4 O 1.52-1.61
18 P 0.7685 0.3852 0.9780  4 O 1.50-1.62
19 P 0.8244 0.6928 0.2832  4 O 1.52-1.61
20 P 0.8946 0.6873 0.8495  4 O 1.49-1.61
21 O 0.0078 0.8515 0.8839  1 P 1.49
22 O 0.0159 0.2623 0.7204  1 P 1.52
23 O 0.0381 0.4116 0.2730  1 P 1.52
24 O 0.1266 0.6984 0.4175  1 P 1.52
25 O 0.1485 0.9922 0.6161  1 P 1.49
26 O 0.1718 0.2006 0.8833  1 P 1.56
27 O 0.1744 0.4190 0.4521  2 P 1.59-1.62
28 O 0.2006 0.1718 0.1167  1 P 1.56
29 O 0.2100 0.6098 0.5955  1 P 1.50
30 O 0.2571 0.4864 0.8174  1 P 1.53
31 O 0.2623 0.0159 0.2796  1 P 1.52
32 O 0.2755 0.3050 0.2994  2 P 1.61
33 O 0.3016 0.8734 0.0825  1 P 1.52
34 O 0.3050 0.2755 0.7006  2 P 1.61
35 O 0.3161 0.5901 0.0656  1 P 1.55
36 O 0.3902 0.7900 0.9045  1 P 1.50
37 O 0.4099 0.6839 0.4344  1 P 1.55
38 O 0.4116 0.0381 0.7270  1 P 1.52
39 O 0.4190 0.1744 0.5479  2 P 1.59-1.62
40 O 0.4864 0.2571 0.1826  1 P 1.53
41 O 0.5136 0.7429 0.6826  1 P 1.53
42 O 0.5810 0.8256 0.0479  2 P 1.59-1.62
43 O 0.5884 0.9619 0.2270  1 P 1.52
44 O 0.5901 0.3161 0.9344  1 P 1.55
45 O 0.6098 0.2100 0.4045  1 P 1.50
46 O 0.6839 0.4099 0.5656  1 P 1.55
47 O 0.6950 0.7245 0.2006  2 P 1.61
48 O 0.6984 0.1266 0.5825  1 P 1.52
49 O 0.7245 0.6950 0.7994  2 P 1.61
50 O 0.7377 0.9841 0.7796  1 P 1.52
51 O 0.7429 0.5136 0.3174  1 P 1.53
52 O 0.7900 0.3902 0.0955  1 P 1.50
53 O 0.7994 0.8282 0.6167  1 P 1.56
54 O 0.8256 0.5810 0.9521  2 P 1.59-1.62
55 O 0.8282 0.7994 0.3833  1 P 1.56
56 O 0.8515 0.0078 0.1161  1 P 1.49
57 O 0.8734 0.3016 0.9175  1 P 1.52
58 O 0.9619 0.5884 0.7730  1 P 1.52
59 O 0.9841 0.7377 0.2204  1 P 1.52
60 O 0.9922 0.1485 0.3839  1 P 1.49

Values from the calculation:
For the energy, the calculation gives -7.139 eV/atom. As for the space group: C222_1, No. 20. As for the energy above the most stable polymorph in this dataset: 0 meV/atom. The uncorrected formation energy comes out at -1987 meV per atom.


First-principles (GGA-PBEsol) data for Y2Si5Ir3 after structural relaxation, as listed in Alexandria via LeMat-Bulk.

abc: 8.0746 8.0746 8.0746
angles: 104.24 90.56 138.09
With the nearest neighbours (Å) after each atom.
Positions (direct):
1 Y 0.1308 0.2292 0.3600  10 Si 2.92-3.23, 3 Ir 3.04-3.11
2 Y 0.3692 0.7292 0.0985  10 Si 2.92-3.23, 3 Ir 3.04-3.11
3 Y 0.6308 0.2708 0.9015  10 Si 2.92-3.23, 3 Ir 3.04-3.11
4 Y 0.8692 0.7708 0.6400  10 Si 2.92-3.23, 3 Ir 3.04-3.11
5 Si 0.0245 0.7500 0.2745  3 Ir 2.39-2.56, 2 Si 2.52
6 Si 0.1057 0.6560 0.7617  3 Ir 2.31-2.43, 2 Si 2.52
7 Si 0.2500 0.2500 0.0000  4 Ir 2.43
8 Si 0.3943 0.1560 0.5504  3 Ir 2.31-2.43, 2 Si 2.52
9 Si 0.4755 0.7500 0.7255  3 Ir 2.39-2.56, 2 Si 2.52
10 Si 0.5245 0.2500 0.2745  3 Ir 2.39-2.56, 2 Si 2.52
11 Si 0.6057 0.8440 0.4496  3 Ir 2.31-2.43, 2 Si 2.52
12 Si 0.7500 0.7500 0.0000  4 Ir 2.43
13 Si 0.8943 0.3440 0.2383  3 Ir 2.31-2.43, 2 Si 2.52
14 Si 0.9755 0.2500 0.7255  3 Ir 2.39-2.56, 2 Si 2.52
15 Ir 0.1397 0.8861 0.0258  5 Si 2.31-2.43
16 Ir 0.2500 0.7500 0.5000  6 Si 2.43-2.56
17 Ir 0.3603 0.3861 0.7463  5 Si 2.31-2.43
18 Ir 0.6397 0.6139 0.2537  5 Si 2.31-2.43
19 Ir 0.7500 0.2500 0.5000  6 Si 2.43-2.56
20 Ir 0.8603 0.1139 0.9742  5 Si 2.31-2.43

Values from the calculation:
For the energy, the calculation gives -8.229 eV/atom. As for the space group: Ibam, No. 72. The uncorrected formation energy comes out at -1044 meV per atom.


First-principles (GGA-PBEsol) data for KY2Cl after structural relaxation, as listed in Alexandria via LeMat-Bulk.

abc: 3.3816 6.2362 6.3683
angles: 90.00 90.00 90.00
With the nearest neighbours (Å) after each atom.
Positions (direct):
1 K 0.0000 0.0000 0.0000  2 Cl 3.12, 2 K 3.38
2 Y 0.5000 0.2487 0.5000  4 Y 3.10-3.38
3 Y 0.5000 0.7513 0.5000  4 Y 3.10-3.38
4 Cl 0.0000 0.5000 0.0000  2 K 3.12, 2 Cl 3.38

Values from the calculation:
For the energy, the calculation gives -4.115 eV/atom. As for the space group: Pmmm, No. 47. The uncorrected formation energy comes out at 81 meV per atom.


First-principles (GGA-PBEsol) data for ZrAgRu2N after structural relaxation, as listed in Alexandria via LeMat-Bulk.

abc: 4.0387 4.0387 4.3219
angles: 90.00 90.00 90.00
With the nearest neighbours (Å) after each atom.
Positions (direct):
1 Zr 0.0000 0.0000 0.0000  4 Ag 2.86, 8 Ru 2.96
2 Ag 0.5000 0.5000 0.0000  2 N 2.16
3 Ru 0.0000 0.5000 0.5000  2 N 2.02
4 Ru 0.5000 0.0000 0.5000  2 N 2.02
5 N 0.5000 0.5000 0.5000  4 Ru 2.02, 2 Ag 2.16

Values from the calculation:
For the energy, the calculation gives -8.153 eV/atom. As for the space group: P4/mmm, No. 123. The uncorrected formation energy comes out at 102 meV per atom.


First-principles (GGA-PBEsol) data for TiFeCoAs after structural relaxation, as listed in Alexandria via LeMat-Bulk.

abc: 4.0702 4.0702 4.0702
angles: 60.00 60.00 60.00
With the nearest neighbours (Å) after each atom.
Positions (direct):
1 Ti 0.0000 0.0000 0.0000  4 Co 2.49, 4 Fe 2.49
2 Fe 0.2500 0.2500 0.2500  4 As 2.49, 4 Ti 2.49
3 Co 0.7500 0.7500 0.7500  4 Ti 2.49, 4 As 2.49
4 As 0.5000 0.5000 0.5000  4 Co 2.49, 4 Fe 2.49

Values from the calculation:
For the energy, the calculation gives -7.952 eV/atom. As for the space group: F-43m, No. 216.


First-principles (GGA-PBEsol) data for AlCr3 after structural relaxation, as listed in Alexandria via LeMat-Bulk.

abc: 4.1181 4.1181 4.1181
angles: 60.00 60.00 60.00
With the nearest neighbours (Å) after each atom.
Positions (direct):
1 Al 0.0000 0.0000 0.0000  8 Cr 2.52
2 Cr 0.2500 0.2500 0.2500  4 Cr 2.52, 4 Al 2.52
3 Cr 0.5000 0.5000 0.5000  8 Cr 2.52
4 Cr 0.7500 0.7500 0.7500  4 Cr 2.52, 4 Al 2.52

Values from the calculation:
For the energy, the calculation gives -8.665 eV/atom. As for the space group: Fm-3m, No. 225.


First-principles (GGA-PBEsol) data for Rb2NaBeCu after structural relaxation, as listed in Alexandria via LeMat-Bulk.

abc: 6.2861 6.2861 5.4204
angles: 90.00 90.00 90.00
With the nearest neighbours (Å) after each atom.
Positions (direct):
1 Rb 0.0000 0.5000 0.0000  2 Cu 3.14
2 Rb 0.5000 0.0000 0.0000  2 Cu 3.14
3 Na 0.0000 0.0000 0.5000  2 Cu 2.71
4 Be 0.5000 0.5000 0.5000  8 Rb 4.15, 4 Na 4.44
5 Cu 0.0000 0.0000 0.0000  2 Na 2.71

Values from the calculation:
For the energy, the calculation gives -1.470 eV/atom. As for the space group: P4/mmm, No. 123.


First-principles (GGA-PBEsol) data for Ba3N after structural relaxation, as listed in Alexandria via LeMat-Bulk.

abc: 7.5734 7.5734 6.9708
angles: 90.00 90.00 120.00
With the nearest neighbours (Å) after each atom.
Positions (direct):
1 Ba 0.0000 0.2738 0.2500  2 N 2.71
2 Ba 0.0000 0.7262 0.7500  2 N 2.71
3 Ba 0.2738 0.0000 0.2500  2 N 2.71
4 Ba 0.2738 0.2738 0.7500  2 N 2.71
5 Ba 0.7262 0.0000 0.7500  2 N 2.71
6 Ba 0.7262 0.7262 0.2500  2 N 2.71
7 N 0.0000 0.0000 0.0000  6 Ba 2.71
8 N 0.0000 0.0000 0.5000  6 Ba 2.71

Values from the calculation:
For the energy, the calculation gives -4.113 eV/atom. As for the space group: P6_3/mcm, No. 193. The uncorrected formation energy comes out at -370 meV per atom.


| no. | size of the total moment (μB/atom) |
| --- | --- |
| 1 | 1.065 |
| 2 | 0.000 |
| 3 | 0.262 |
| 4 | 0.000 |
| 5 | 0.000 |
| 6 | 0.000 |
| 7 | 0.000 |
| 8 | 0.507 |
| 9 | 0.703 |
| 10 | 0.071 |
| 11 | 0.000 |